[1]
GGA-PBE YTmCdPd, relaxed; calculated density = 8.4 g/cm³; ΔE_f = -59.87 kJ per mole of atoms; SG = P4mm (99)
1.0
-3.352 1.232 -0.005
-0.314 -0.866 -3.450
-2.458 -6.678 1.900
Tm Pd Cd Y
1 1 1 1
Direct
0.000 0.000 0.382
0.500 0.500 0.596
0.500 0.500 0.114
0.000 0.000 0.836


[2]
GGA-PBE NaIn8Sn6, relaxed; calculated density = 6.1 g/cm³; ΔE_f = 3.25 kJ per mole of atoms; SG = R-3 (148)
1.0
8.196 0.000 0.000
4.098 7.098 0.000
4.098 2.366 7.693
In Sn Na
8 6 1
Direct
0.558 0.198 0.379
0.198 0.865 0.379
0.442 0.802 0.621
0.802 0.135 0.621
0.339 0.339 0.983
0.135 0.442 0.621
0.865 0.558 0.379
0.661 0.661 0.017
0.273 0.575 0.212
0.727 0.425 0.788
0.575 0.940 0.212
0.940 0.273 0.212
0.060 0.727 0.788
0.425 0.060 0.788
0.000 0.000 0.000


[3]
GGA-PBE NaInGa2Pt, relaxed; calculated density = 6.2 g/cm³; ΔE_f = -19.01 kJ per mole of atoms; SG = P4/mmm (123)
1.0
-4.152 1.643 -1.917
-2.300 -0.937 4.177
1.158 4.973 1.753
Ga In Pt Na
2 1 1 1
Direct
0.000 0.500 0.000
0.500 0.000 0.000
0.000 0.000 0.500
0.000 0.000 0.000
0.500 0.500 0.500


[4]
GGA-PBE LaTbPr2H, relaxed; calculated density = 6.9 g/cm³; SG = P4/mmm (123)
1.0
-3.441 1.713 3.407
-1.999 -4.790 0.390
3.307 -1.065 3.876
Tb H La Pr
1 1 1 2
Direct
0.500 0.000 0.000
0.000 0.000 0.000
0.500 0.500 0.500
0.000 0.500 0.000
0.000 0.000 0.500


[5]
GGA-PBE NaAgSn, relaxed; calculated density = 5.4 g/cm³; ΔE_f = -0.96 kJ per mole of atoms; SG = F-43m (216)
1.0
-2.138 -0.679 -4.213
-1.331 -4.389 -1.321
-4.631 -1.140 -0.170
Na Ag Sn
1 1 1
Direct
0.500 0.500 0.500
0.250 0.250 0.250
0.000 0.000 0.000


[6]
GGA-PBE CuTc2F, relaxed; calculated density = 9.1 g/cm³; SG = Fm-3m (225)
1.0
0.000 2.940 2.940
2.940 0.000 2.940
2.940 2.940 0.000
Cu Tc F
1 2 1
Direct
0.500 0.500 0.500
0.250 0.250 0.250
0.750 0.750 0.750
0.000 0.000 0.000


[7]
GGA-PBE Sn3MoPt, relaxed; calculated density = 7.6 g/cm³; ΔE_f = 79.54 kJ per mole of atoms; SG = Pm-3m (221)
1.0
-2.183 1.050 4.612
3.843 -2.567 2.404
2.757 4.410 0.301
Mo Sn Pt
1 3 1
Direct
0.500 0.500 0.500
0.500 0.000 0.000
0.000 0.500 0.000
0.000 0.000 0.500
0.000 0.000 0.000


[8]
GGA-PBE Cs2TaBePt, relaxed; calculated density = 5.3 g/cm³; ΔE_f = 129.27 kJ per mole of atoms; SG = P4/mmm (123)
1.0
6.933 0.000 0.000
0.000 4.204 0.000
0.000 0.000 6.933
Be Cs Pt Ta
1 2 1 1
Direct
0.000 0.500 0.000
0.500 0.000 0.000
0.000 0.000 0.500
0.000 0.000 0.000
0.500 0.500 0.500


[9]
GGA-PBE YBPt4, relaxed; calculated density = 13.6 g/cm³; ΔE_f = -59.47 kJ per mole of atoms; SG = P-1 (2)
1.0
5.605 0.001 0.001
0.001 5.640 -0.367
-2.802 -2.789 6.972
Pt B Y
8 2 2
Direct
0.325 0.893 0.187
0.138 0.608 0.813
0.862 0.392 0.187
0.839 0.838 0.507
0.161 0.162 0.493
0.332 0.661 0.492
0.675 0.107 0.813
0.668 0.339 0.508
0.500 0.000 0.500
0.000 0.500 0.500
0.743 0.750 0.001
0.257 0.250 0.999


[10]
GGA-PBE CaCI2, relaxed; calculated density = 3.8 g/cm³; SG = I-42d (122)
1.0
5.785 0.000 0.000
0.000 5.785 0.000
2.893 2.893 7.978
C Ca I
2 2 4
Direct
0.250 0.750 0.500
0.500 0.500 0.000
0.750 0.250 0.500
0.000 0.000 0.000
0.875 0.808 0.750
0.558 0.125 0.250
0.375 0.442 0.750
0.192 0.625 0.250


[11]
GGA-PBE LaTiPb3, relaxed; calculated density = 6.3 g/cm³; ΔE_f = 112.61 kJ per mole of atoms; SG = Pm-3m (221)
1.0
-4.404 -3.350 -2.265
1.654 -4.549 3.511
-3.690 1.960 4.277
Pb La Ti
3 1 1
Direct
0.500 0.000 0.000
0.000 0.500 0.000
0.000 0.000 0.500
0.000 0.000 0.000
0.500 0.500 0.500


[12]
GGA-PBE Sc2CuCl, relaxed; calculated density = 4.2 g/cm³; SG = P4mm (99)
1.0
3.732 0.000 0.000
0.000 3.731 0.000
0.000 0.000 5.419
Cl Sc Cu
1 2 1
Direct
0.000 0.000 0.375
0.000 0.000 0.875
0.500 0.500 0.376
0.500 0.500 0.875


| no. | N(E_F) (states/eV per atom) | energy (eV per atom) |
| --- | --- | --- |
| 1 | 0.774 | -4.881 |
| 2 | 0.377 | -3.116 |
| 3 | 0.568 | -3.427 |
| 4 | 0.856 | -4.668 |
| 5 | 0.759 | -2.734 |
| 6 | 1.489 | -6.185 |
| 7 | 0.570 | -4.952 |
| 8 | 1.160 | -3.326 |
| 9 | 0.352 | -6.834 |
| 10 | 0.315 | -2.816 |
| 11 | 1.938 | -3.622 |
| 12 | 0.588 | -5.284 |